{
  "formula": "KMgPb",
  "functional": "PBE",
  "state": "relaxed",
  "ef_kj_per_mol_atoms": 10.1,
  "crystal_system": "trigonal",
  "relative_energy_ev_per_fu": 0.77,
  "dos_at_fermi_per_ev_atom": 0.811,
  "m_tot_mub_per_fu": 0.00,
  "lattice": [[-1.699, -3.190, -0.484], [3.489, 0.066, 1.059], [-2.530, 0.083, 8.328]],
  "species": ["K", "Mg", "Pb"],
  "frac_coords": [[0.000, 0.000, 0.993], [0.667, 0.333, 0.367], [0.333, 0.667, 0.641]]
}